# 1
{
  "formula": "KIn2Fe",
  "functional": "meta-GGA SCAN",
  "state": "single point on PBEsol structure",
  "formation_energy_ev_per_atom": 0.53,
  "polymorph_energy_kj_per_mol_atoms": 37.7,
  "lattice": [[7.186, 0.000, 0.000], [0.000, 7.186, 0.000], [0.000, 0.000, 7.186]],
  "species": ["K", "K", "K", "K", "In", "In", "In", "In", "In", "In", "In", "In", "Fe", "Fe", "Fe", "Fe"],
  "frac_coords": [[0.000, 0.000, 0.000], [0.000, 0.500, 0.500], [0.500, 0.000, 0.500], [0.500, 0.500, 0.000], [0.000, 0.000, 0.500], [0.000, 0.500, 0.000], [0.250, 0.250, 0.750], [0.250, 0.750, 0.250], [0.500, 0.000, 0.000], [0.500, 0.500, 0.500], [0.750, 0.250, 0.250], [0.750, 0.750, 0.750], [0.250, 0.250, 0.250], [0.250, 0.750, 0.750], [0.750, 0.250, 0.750], [0.750, 0.750, 0.250]]
}


# 2
{
  "formula": "KIn2Fe",
  "functional": "meta-GGA SCAN",
  "state": "single point on PBEsol structure",
  "formation_energy_ev_per_atom": 0.14,
  "polymorph_energy_kj_per_mol_atoms": 0.0,
  "lattice": [[3.029, 0.000, 0.000], [0.000, 3.485, 0.000], [0.000, 0.000, 8.634]],
  "species": ["K", "In", "In", "Fe"],
  "frac_coords": [[0.000, 0.000, 0.000], [0.500, 0.500, 0.320], [0.500, 0.500, 0.680], [0.000, 0.000, 0.500]]
}


# 3
{
  "formula": "KInFe",
  "functional": "meta-GGA SCAN",
  "state": "single point on PBEsol structure",
  "formation_energy_ev_per_atom": 0.79,
  "lattice": [[6.850, 0.000, 0.000], [0.000, 6.850, 0.000], [0.000, 0.000, 6.850]],
  "species": ["K", "K", "K", "K", "In", "In", "In", "In", "Fe", "Fe", "Fe", "Fe"],
  "frac_coords": [[0.000, 0.000, 0.000], [0.000, 0.500, 0.500], [0.500, 0.000, 0.500], [0.500, 0.500, 0.000], [0.000, 0.000, 0.500], [0.000, 0.500, 0.000], [0.500, 0.000, 0.000], [0.500, 0.500, 0.500], [0.250, 0.250, 0.750], [0.250, 0.750, 0.250], [0.750, 0.250, 0.250], [0.750, 0.750, 0.750]]
}


# 4
{
  "formula": "La2InFe",
  "functional": "meta-GGA SCAN",
  "state": "single point on PBEsol structure",
  "formation_energy_ev_per_atom": 0.02,
  "lattice": [[7.138, 0.000, 0.000], [0.000, 7.138, 0.000], [0.000, 0.000, 7.138]],
  "species": ["La", "La", "La", "La", "La", "La", "La", "La", "In", "In", "In", "In", "Fe", "Fe", "Fe", "Fe"],
  "frac_coords": [[0.000, 0.000, 0.000], [0.000, 0.500, 0.500], [0.250, 0.250, 0.250], [0.250, 0.750, 0.750], [0.500, 0.000, 0.500], [0.500, 0.500, 0.000], [0.750, 0.250, 0.750], [0.750, 0.750, 0.250], [0.000, 0.000, 0.500], [0.000, 0.500, 0.000], [0.500, 0.000, 0.000], [0.500, 0.500, 0.500], [0.250, 0.250, 0.750], [0.250, 0.750, 0.250], [0.750, 0.250, 0.250], [0.750, 0.750, 0.750]]
}


# 5
{
  "formula": "LaIn3Fe",
  "functional": "meta-GGA SCAN",
  "state": "single point on PBEsol structure",
  "formation_energy_ev_per_atom": 1.37,
  "lattice": [[5.855, 0.000, 0.000], [0.000, 5.855, 0.000], [0.000, 0.000, 5.855]],
  "species": ["La", "In", "In", "In", "Fe"],
  "frac_coords": [[0.000, 0.000, 0.000], [0.000, 0.000, 0.500], [0.000, 0.500, 0.000], [0.500, 0.000, 0.000], [0.500, 0.500, 0.500]]
}


# 6
{
  "formula": "La3InFe",
  "functional": "meta-GGA SCAN",
  "state": "single point on PBEsol structure",
  "formation_energy_ev_per_atom": -0.24,
  "lattice": [[5.174, 0.000, 0.000], [0.000, 5.174, 0.000], [0.000, 0.000, 5.174]],
  "species": ["La", "La", "La", "In", "Fe"],
  "frac_coords": [[0.000, 0.000, 0.500], [0.000, 0.500, 0.000], [0.500, 0.000, 0.000], [0.500, 0.500, 0.500], [0.000, 0.000, 0.000]]
}


# 7
{
  "formula": "La2InFe",
  "functional": "meta-GGA SCAN",
  "state": "single point on PBEsol structure",
  "formation_energy_ev_per_atom": -0.11,
  "lattice": [[4.908, 0.000, 0.000], [0.000, 4.908, 0.000], [0.000, 0.000, 4.246]],
  "species": ["La", "La", "In", "Fe"],
  "frac_coords": [[0.000, 0.500, 0.000], [0.500, 0.000, 0.000], [0.000, 0.000, 0.500], [0.500, 0.500, 0.500]]
}


# 8
{
  "formula": "La3InFeS7",
  "functional": "meta-GGA SCAN",
  "state": "single point on PBEsol structure",
  "e_form_raw_ev_per_atom": -1.7643,
  "lattice": [[9.848, 0.000, 0.000], [-4.924, 8.528, 0.000], [0.000, 0.000, 6.317]],
  "species": ["La", "La", "La", "La", "La", "La", "In", "In", "Fe", "Fe", "S", "S", "S", "S", "S", "S", "S", "S", "S", "S", "S", "S", "S", "S"],
  "frac_coords": [[0.165, 0.794, 0.000], [0.206, 0.372, 0.000], [0.372, 0.165, 0.500], [0.628, 0.835, 0.000], [0.794, 0.628, 0.500], [0.835, 0.206, 0.500], [0.333, 0.667, 0.573], [0.667, 0.333, 0.073], [0.000, 0.000, 0.143], [0.000, 0.000, 0.643], [0.072, 0.520, 0.731], [0.091, 0.888, 0.393], [0.112, 0.203, 0.393], [0.203, 0.091, 0.893], [0.333, 0.667, 0.195], [0.449, 0.928, 0.731], [0.480, 0.551, 0.731], [0.520, 0.449, 0.231], [0.551, 0.072, 0.231], [0.667, 0.333, 0.695], [0.797, 0.909, 0.393], [0.888, 0.797, 0.893], [0.909, 0.112, 0.893], [0.928, 0.480, 0.231]]
}


# 9
{
  "formula": "LaInFe2Te",
  "functional": "meta-GGA SCAN",
  "state": "single point on PBEsol structure",
  "e_form_raw_ev_per_atom": 1.1467,
  "lattice": [[4.704, 0.000, 0.000], [0.000, 4.704, 0.000], [0.000, 0.000, 6.097]],
  "species": ["La", "In", "Fe", "Fe", "Te"],
  "frac_coords": [[0.000, 0.000, 0.000], [0.500, 0.500, 0.500], [0.000, 0.500, 0.000], [0.500, 0.000, 0.000], [0.000, 0.000, 0.500]]
}


# 10
{
  "formula": "LiIn2Fe",
  "functional": "meta-GGA SCAN",
  "state": "single point on PBEsol structure",
  "formation_energy_ev_per_atom": 0.12,
  "lattice": [[3.523, 0.000, 0.000], [0.000, 3.523, 0.000], [0.000, 0.000, 5.675]],
  "species": ["Li", "In", "In", "Fe"],
  "frac_coords": [[0.000, 0.000, 0.000], [0.000, 0.000, 0.446], [0.500, 0.500, 0.777], [0.500, 0.500, 0.261]]
}


# 11
{
  "formula": "LiInFe2",
  "functional": "meta-GGA SCAN",
  "state": "single point on PBEsol structure",
  "formation_energy_ev_per_atom": 0.36,
  "lattice": [[3.127, 0.000, 0.000], [0.000, 3.127, 0.000], [0.000, 0.000, 5.497]],
  "species": ["Li", "In", "Fe", "Fe"],
  "frac_coords": [[0.000, 0.000, 0.000], [0.000, 0.000, 0.500], [0.500, 0.500, 0.209], [0.500, 0.500, 0.791]]
}


# 12
{
  "formula": "LiInFe2",
  "functional": "meta-GGA SCAN",
  "state": "single point on PBEsol structure",
  "formation_energy_ev_per_atom": 0.08,
  "lattice": [[3.519, 0.000, 0.000], [0.000, 3.688, 0.000], [0.000, 0.000, 4.161]],
  "species": ["Li", "In", "Fe", "Fe"],
  "frac_coords": [[0.000, 0.000, 0.000], [0.500, 0.500, 0.000], [0.000, 0.500, 0.500], [0.500, 0.000, 0.500]]
}


# 13
{
  "formula": "MgIn2Fe",
  "functional": "meta-GGA SCAN",
  "state": "single point on PBEsol structure",
  "formation_energy_ev_per_atom": 0.09,
  "lattice": [[4.238, 0.000, 0.000], [0.000, 4.238, 0.000], [0.000, 0.000, 4.139]],
  "species": ["Mg", "In", "In", "Fe"],
  "frac_coords": [[0.000, 0.000, 0.000], [0.000, 0.500, 0.500], [0.500, 0.000, 0.500], [0.500, 0.500, 0.000]]
}


# 14
{
  "formula": "MgInFe2",
  "functional": "meta-GGA SCAN",
  "state": "single point on PBEsol structure",
  "formation_energy_ev_per_atom": 0.15,
  "lattice": [[3.874, 0.000, 0.000], [0.000, 3.874, 0.000], [0.000, 0.000, 3.968]],
  "species": ["Mg", "In", "Fe", "Fe"],
  "frac_coords": [[0.000, 0.000, 0.000], [0.500, 0.500, 0.000], [0.000, 0.500, 0.500], [0.500, 0.000, 0.500]]
}


# 15
{
  "formula": "Mg2InFe",
  "functional": "meta-GGA SCAN",
  "state": "single point on PBEsol structure",
  "formation_energy_ev_per_atom": 0.13,
  "lattice": [[3.166, 0.000, 0.000], [0.000, 4.632, 0.000], [0.000, 0.000, 9.642]],
  "species": ["Mg", "Mg", "Mg", "Mg", "In", "In", "Fe", "Fe"],
  "frac_coords": [[0.000, 0.000, 0.222], [0.000, 0.000, 0.778], [0.500, 0.500, 0.278], [0.500, 0.500, 0.722], [0.000, 0.500, 0.000], [0.500, 0.000, 0.500], [0.000, 0.500, 0.500], [0.500, 0.000, 0.000]]
}


# 16
{
  "formula": "Mg2InFe",
  "functional": "meta-GGA SCAN",
  "state": "single point on PBEsol structure",
  "formation_energy_ev_per_atom": 0.15,
  "lattice": [[3.250, 0.000, 0.000], [0.000, 3.250, 0.000], [0.000, 0.000, 6.862]],
  "species": ["Mg", "Mg", "In", "Fe"],
  "frac_coords": [[0.000, 0.000, 0.000], [0.500, 0.500, 0.291], [0.500, 0.500, 0.714], [0.000, 0.000, 0.499]]
}


# 17
{
  "formula": "MgIn2Fe",
  "functional": "meta-GGA SCAN",
  "state": "single point on PBEsol structure",
  "formation_energy_ev_per_atom": 0.09,
  "lattice": [[4.174, 0.000, 0.000], [0.000, 4.174, 0.000], [0.000, 0.000, 8.321]],
  "species": ["Mg", "Mg", "In", "In", "In", "In", "Fe", "Fe"],
  "frac_coords": [[0.000, 0.000, 0.000], [0.500, 0.500, 0.500], [0.000, 0.500, 0.250], [0.000, 0.500, 0.750], [0.500, 0.000, 0.250], [0.500, 0.000, 0.750], [0.000, 0.000, 0.500], [0.500, 0.500, 0.000]]
}


# 18
{
  "formula": "MgScInFe2",
  "functional": "meta-GGA SCAN",
  "state": "single point on PBEsol structure",
  "formation_energy_ev_per_atom": 0.85,
  "lattice": [[4.514, 0.000, 0.000], [0.000, 4.514, 0.000], [0.000, 0.000, 4.854]],
  "species": ["Mg", "Sc", "In", "Fe", "Fe"],
  "frac_coords": [[0.000, 0.000, 0.000], [0.500, 0.500, 0.500], [0.000, 0.000, 0.500], [0.000, 0.500, 0.000], [0.500, 0.000, 0.000]]
}


# 19
{
  "formula": "MnIn2FePd",
  "functional": "meta-GGA SCAN",
  "state": "single point on PBEsol structure",
  "formation_energy_ev_per_atom": 0.51,
  "lattice": [[4.802, 0.000, 0.000], [0.000, 4.802, 0.000], [0.000, 0.000, 4.609]],
  "species": ["Mn", "In", "In", "Fe", "Pd"],
  "frac_coords": [[0.000, 0.000, 0.000], [0.000, 0.500, 0.500], [0.500, 0.000, 0.500], [0.500, 0.500, 0.500], [0.500, 0.500, 0.000]]
}


# 20
{
  "formula": "InFeMo2",
  "functional": "meta-GGA SCAN",
  "state": "single point on PBEsol structure",
  "formation_energy_ev_per_atom": 0.33,
  "lattice": [[3.945, 0.000, 0.000], [0.000, 3.945, 0.000], [0.000, 0.000, 7.864]],
  "species": ["In", "In", "Fe", "Fe", "Mo", "Mo", "Mo", "Mo"],
  "frac_coords": [[0.000, 0.000, 0.000], [0.500, 0.500, 0.500], [0.000, 0.500, 0.750], [0.500, 0.000, 0.250], [0.000, 0.000, 0.500], [0.000, 0.500, 0.250], [0.500, 0.000, 0.750], [0.500, 0.500, 0.000]]
}


# 21
{
  "formula": "InFeMo2",
  "functional": "meta-GGA SCAN",
  "state": "single point on PBEsol structure",
  "formation_energy_ev_per_atom": 0.21,
  "lattice": [[3.203, 0.000, 0.000], [0.000, 3.203, 0.000], [0.000, 0.000, 6.042]],
  "species": ["In", "Fe", "Mo", "Mo"],
  "frac_coords": [[0.000, 0.000, 0.000], [0.500, 0.500, 0.742], [0.000, 0.000, 0.520], [0.500, 0.500, 0.298]]
}


# 22
{
  "formula": "InFeMo",
  "functional": "meta-GGA SCAN",
  "state": "single point on PBEsol structure",
  "formation_energy_ev_per_atom": 0.24,
  "lattice": [[2.894, 0.000, 0.000], [0.000, 2.894, 0.000], [0.000, 0.000, 10.762]],
  "species": ["In", "In", "Fe", "Fe", "Mo", "Mo"],
  "frac_coords": [[0.000, 0.000, 0.000], [0.500, 0.500, 0.500], [0.000, 0.000, 0.326], [0.500, 0.500, 0.826], [0.000, 0.000, 0.701], [0.500, 0.500, 0.201]]
}


# 23
{
  "formula": "InFeMo2",
  "functional": "meta-GGA SCAN",
  "state": "single point on PBEsol structure",
  "formation_energy_ev_per_atom": 0.26,
  "lattice": [[3.267, 0.000, 0.000], [0.000, 4.465, 0.000], [0.000, 0.000, 8.437]],
  "species": ["In", "In", "Fe", "Fe", "Mo", "Mo", "Mo", "Mo"],
  "frac_coords": [[0.000, 0.000, 0.000], [0.500, 0.500, 0.500], [0.000, 0.500, 0.247], [0.500, 0.000, 0.747], [0.000, 0.000, 0.514], [0.000, 0.500, 0.776], [0.500, 0.000, 0.276], [0.500, 0.500, 0.014]]
}


# 24
{
  "formula": "InFe2N",
  "functional": "meta-GGA SCAN",
  "state": "single point on PBEsol structure",
  "e_form_raw_ev_per_atom": 1.1489,
  "lattice": [[5.882, 0.000, 0.000], [0.000, 5.882, 0.000], [0.000, 0.000, 5.882]],
  "species": ["In", "In", "In", "In", "Fe", "Fe", "Fe", "Fe", "Fe", "Fe", "Fe", "Fe", "N", "N", "N", "N"],
  "frac_coords": [[0.000, 0.000, 0.000], [0.000, 0.500, 0.500], [0.500, 0.000, 0.500], [0.500, 0.500, 0.000], [0.250, 0.250, 0.250], [0.250, 0.250, 0.750], [0.250, 0.750, 0.250], [0.250, 0.750, 0.750], [0.750, 0.250, 0.250], [0.750, 0.250, 0.750], [0.750, 0.750, 0.250], [0.750, 0.750, 0.750], [0.000, 0.000, 0.500], [0.000, 0.500, 0.000], [0.500, 0.000, 0.000], [0.500, 0.500, 0.500]]
}


# 25
{
  "formula": "InFeN2O",
  "functional": "meta-GGA SCAN",
  "state": "single point on PBEsol structure",
  "e_form_raw_ev_per_atom": 1.2843,
  "lattice": [[4.104, 0.000, 0.000], [0.000, 4.104, 0.000], [0.000, 0.000, 4.064]],
  "species": ["In", "Fe", "N", "N", "O"],
  "frac_coords": [[0.000, 0.000, 0.000], [0.500, 0.500, 0.500], [0.000, 0.500, 0.000], [0.500, 0.000, 0.000], [0.000, 0.000, 0.500]]
}


# 26
{
  "formula": "InFe2SbN",
  "functional": "meta-GGA SCAN",
  "state": "single point on PBEsol structure",
  "e_form_raw_ev_per_atom": 0.3462,
  "lattice": [[3.966, 0.000, 0.000], [0.000, 3.966, 0.000], [0.000, 0.000, 4.885]],
  "species": ["In", "Fe", "Fe", "Sb", "N"],
  "frac_coords": [[0.000, 0.000, 0.000], [0.000, 0.500, 0.500], [0.500, 0.000, 0.500], [0.500, 0.500, 0.000], [0.000, 0.000, 0.500]]
}


# 27
{
  "formula": "NaIn2Fe2",
  "functional": "meta-GGA SCAN",
  "state": "single point on PBEsol structure",
  "formation_energy_ev_per_atom": 0.36,
  "lattice": [[4.819, 0.000, 0.000], [0.000, 4.819, 0.000], [0.000, 0.000, 8.236]],
  "species": ["Na", "Na", "In", "In", "In", "In", "Fe", "Fe", "Fe", "Fe"],
  "frac_coords": [[0.000, 0.000, 0.000], [0.500, 0.500, 0.500], [0.000, 0.500, 0.250], [0.000, 0.500, 0.750], [0.500, 0.000, 0.250], [0.500, 0.000, 0.750], [0.000, 0.000, 0.374], [0.000, 0.000, 0.626], [0.500, 0.500, 0.126], [0.500, 0.500, 0.874]]
}


# 28
{
  "formula": "YNb2InFe",
  "functional": "meta-GGA SCAN",
  "state": "single point on PBEsol structure",
  "formation_energy_ev_per_atom": 2.07,
  "lattice": [[4.849, 0.000, 0.000], [0.000, 4.849, 0.000], [0.000, 0.000, 5.362]],
  "species": ["Y", "Nb", "Nb", "In", "Fe"],
  "frac_coords": [[0.000, 0.000, 0.000], [0.000, 0.500, 0.000], [0.500, 0.000, 0.000], [0.000, 0.000, 0.500], [0.500, 0.500, 0.500]]
}


The spin magnetization results, record by record, are as follows: 13.502 2.666 12.222 3.982 3.033 0.000 2.053 0.110 5.657 2.594 5.471 5.142 2.877 5.224 4.666 2.184 4.766 4.800 7.387 5.356 2.745 3.300 5.234 23.552 6.866 6.310 8.379 3.027 μB/cell.